Entry from Alexandria via LeMat-Bulk: a relaxed structure of SnAsI (PBE).

abc: 4.1189 4.1189 6.7350
angles: 90.00 90.00 120.00
With the nearest neighbours (Å) after each atom.
Space group P3m1 (No. 156)
Unique sites:
Sn (0.0000, 0.0000, 0.0000) (multiplicity 1)  3 As 2.69
As (0.3333, 0.6667, 0.1853) (multiplicity 1)  3 Sn 2.69
I (0.6667, 0.3333, 0.6681) (multiplicity 1)  3 Sn 3.26

Density of states at the Fermi level = 0.4 states/eV/cell
VASP energy = -10.31 eV per cell
E_form (uncorrected) = -0.036 eV/atom